1.
A plane-wave DFT calculation with PBE-GGA was carried out for crystalline Ca2ScNi9 at its relaxed geometry.

Computed properties:
V in Å³/atom: 14.1
DOS at the Fermi energy in states/eV per cell: 37.43
ρ in g cm⁻³: 6.4
Energy of formation from the pure elements in eV/atom: -0.224

CIF file:
```
data_Ca2ScNi9
_chemical_formula_sum 'Ca6 Sc3 Ni27'
_symmetry_space_group_name_H-M 'R -3 m'
_symmetry_Int_Tables_number 166
_symmetry_space_group_name_Hall '-R 3 2"'
_cell_length_a 4.9040
_cell_length_b 4.9040
_cell_length_c 24.4290
_cell_angle_alpha 90.00
_cell_angle_beta 90.00
_cell_angle_gamma 120.00
loop_
_atom_site_label
_atom_site_fract_x
_atom_site_fract_y
_atom_site_fract_z
Ca1 0.0000 0.0000 0.1400
Sc1 0.0000 0.0000 0.0000
Ni1 0.0000 0.0000 0.3328
Ni2 0.0000 0.0000 0.5000
Ni3 0.0013 0.5006 0.0797
```

=====

2.
A plane-wave DFT calculation with PBE-GGA was carried out for crystalline Tl2AgPO4 at its relaxed geometry.

Computed properties:
V in Å³/atom: 20.2
ρ in g cm⁻³: 6.3
Formation energy without anion corrections in eV/atom: -1.2506

CIF file:
```
data_Tl2AgPO4
_chemical_formula_sum 'Tl16 Ag8 P8 O32'
_symmetry_space_group_name_H-M 'F d d d'
_symmetry_Int_Tables_number 70
_cell_length_a 5.789
_cell_length_b 10.544
_cell_length_c 21.142
_cell_angle_alpha 90.00
_cell_angle_beta 90.00
_cell_angle_gamma 90.00
loop_
_symmetry_equiv_pos_as_xyz
'x,y,z'
'-x,-y,-z'
'-x+1/4,-y+1/4,z'
'x+1/4,y+1/4,-z'
'x,-y+1/4,-z+1/4'
'-x,y+1/4,z+1/4'
'-x+1/4,y,-z+1/4'
'x+1/4,-y,z+1/4'
'x,y+1/2,z+1/2'
'-x,-y+1/2,-z+1/2'
'-x+1/4,-y+3/4,z+1/2'
'x+1/4,y+3/4,-z+1/2'
'x,-y+3/4,-z+3/4'
'-x,y+3/4,z+3/4'
'-x+1/4,y+1/2,-z+3/4'
'x+1/4,-y+1/2,z+3/4'
'x+1/2,y,z+1/2'
'-x+1/2,-y,-z+1/2'
'-x+3/4,-y+1/4,z+1/2'
'x+3/4,y+1/4,-z+1/2'
'x+1/2,-y+1/4,-z+3/4'
'-x+1/2,y+1/4,z+3/4'
'-x+3/4,y,-z+3/4'
'x+3/4,-y,z+3/4'
'x+1/2,y+1/2,z'
'-x+1/2,-y+1/2,-z'
'-x+3/4,-y+3/4,z'
'x+3/4,y+3/4,-z'
'x+1/2,-y+3/4,-z+1/4'
'-x+1/2,y+3/4,z+1/4'
'-x+3/4,y+1/2,-z+1/4'
'x+3/4,-y+1/2,z+1/4'
loop_
_atom_site_label
_atom_site_fract_x
_atom_site_fract_y
_atom_site_fract_z
Tl1 0.125 0.125 0.310
Ag1 0.125 0.125 0.125
P1 0.125 0.125 0.625
O1 0.034 0.287 0.834
```

=====

3.
A plane-wave DFT calculation with PBE-GGA was carried out for crystalline YCo4Sn4 at its relaxed geometry.

Computed properties:
V in Å³/atom: 19.9
DOS at the Fermi energy in states/eV per cell: 19.33
ρ in g cm⁻³: 7.4
Energy of formation from the pure elements in eV/atom: 0.053

CIF file:
```
data_YCo4Sn4
_chemical_formula_sum 'Y2 Co8 Sn8'
_symmetry_space_group_name_H-M 'P 42/n'
_symmetry_Int_Tables_number 86
_cell_length_a 8.322
_cell_length_b 8.322
_cell_length_c 5.161
_cell_angle_alpha 90.00
_cell_angle_beta 90.00
_cell_angle_gamma 90.00
loop_
_symmetry_equiv_pos_as_xyz
'x,y,z'
'-x,-y,-z'
'-y,x+1/2,z+1/2'
'y,-x+1/2,-z+1/2'
'-x+1/2,-y+1/2,z'
'x+1/2,y+1/2,-z'
'y+1/2,-x,z+1/2'
'-y+1/2,x,-z+1/2'
loop_
_atom_site_label
_atom_site_fract_x
_atom_site_fract_y
_atom_site_fract_z
Y1 0.250 0.250 0.250
Co1 0.060 0.595 0.643
Sn1 0.098 0.631 0.144
```

=====

4.
A plane-wave DFT calculation with PBE-GGA was carried out for crystalline ZrAlPt2 at its relaxed geometry.

Computed properties:
V in Å³/atom: 16.8
DOS at the Fermi energy in states/eV per cell: 5.91
ρ in g cm⁻³: 12.6
Energy of formation from the pure elements in eV/atom: -0.893

CIF file:
```
data_ZrAlPt2
_chemical_formula_sum 'Zr2 Al2 Pt4'
_symmetry_space_group_name_H-M 'I -4 m 2'
_symmetry_Int_Tables_number 119
_symmetry_space_group_name_Hall 'I -4 -2'
_cell_length_a 4.007
_cell_length_b 4.007
_cell_length_c 8.374
_cell_angle_alpha 90.00
_cell_angle_beta 90.00
_cell_angle_gamma 90.00
loop_
_atom_site_label
_atom_site_fract_x
_atom_site_fract_y
_atom_site_fract_z
Zr1 0.000 0.000 0.000
Al1 0.000 0.500 0.750
Pt1 0.000 0.000 0.500
Pt2 0.000 0.500 0.250
```

=====

5.
A plane-wave DFT calculation with PBE-GGA was carried out for crystalline PrHo2Te5 at its relaxed geometry.

Computed properties:
V in Å³/atom: 29.9
DOS at the Fermi energy in states/eV per cell: 21.55
ρ in g cm⁻³: 7.7
Formation energy without anion corrections in eV/atom: -1.2139

CIF file:
```
data_PrHo2Te5
_chemical_formula_sum 'Pr4 Ho8 Te20'
_symmetry_space_group_name_H-M 'I 4/m c m'
_symmetry_Int_Tables_number 140
_symmetry_space_group_name_Hall '-I 4 2c'
_cell_length_a 8.171
_cell_length_b 8.171
_cell_length_c 14.318
_cell_angle_alpha 90.00
_cell_angle_beta 90.00
_cell_angle_gamma 90.00
loop_
_atom_site_label
_atom_site_fract_x
_atom_site_fract_y
_atom_site_fract_z
Pr1 0.000 0.000 0.250
Ho1 0.151 0.349 0.000
Te1 0.000 0.000 0.000
Te2 0.157 0.343 0.354
```

=====

6.
A plane-wave DFT calculation with PBE-GGA was carried out for crystalline Tl7AgHg12 at its relaxed geometry.

Computed properties:
V in Å³/atom: 28.3
DOS at the Fermi energy in states/eV per cell: 21.70
ρ in g cm⁻³: 11.6
Energy of formation from the pure elements in eV/atom: 0.031

CIF file:
```
data_Tl7AgHg12
_chemical_formula_sum 'Tl21 Ag3 Hg36'
_symmetry_space_group_name_H-M 'R -3'
_symmetry_Int_Tables_number 148
_symmetry_space_group_name_Hall '-R 3'
_cell_length_a 12.0518
_cell_length_b 12.0518
_cell_length_c 13.5095
_cell_angle_alpha 90.00
_cell_angle_beta 90.00
_cell_angle_gamma 120.00
loop_
_atom_site_label
_atom_site_fract_x
_atom_site_fract_y
_atom_site_fract_z
Tl1 0.0000 0.0000 0.0000
Tl2 0.0543 0.8702 0.2959
Ag1 0.0000 0.0000 0.5000
Hg1 0.0476 0.5819 0.2104
Hg2 0.0580 0.4561 0.5825
```

=====

7.
A plane-wave DFT calculation with PBE-GGA was carried out for crystalline CdTePd2 at its relaxed geometry.

Computed properties:
V in Å³/atom: 21.1
DOS at the Fermi energy in states/eV per cell: 6.41
Energy relative to the lowest polymorph listed for this composition in meV/atom: 0
ρ in g cm⁻³: 8.9
Formation energy without anion corrections in eV/atom: -0.3168

CIF file:
```
data_CdTePd2
_chemical_formula_sum 'Cd4 Te4 Pd8'
_symmetry_space_group_name_H-M 'P 1 21/c 1'
_symmetry_Int_Tables_number 14
_cell_length_a 8.835
_cell_length_b 6.609
_cell_length_c 5.828
_cell_angle_alpha 90.00
_cell_angle_beta 96.73
_cell_angle_gamma 90.00
loop_
_symmetry_equiv_pos_as_xyz
'x,y,z'
'-x,-y,-z'
'-x,y+1/2,-z+1/2'
'x,-y+1/2,z+1/2'
loop_
_atom_site_label
_atom_site_fract_x
_atom_site_fract_y
_atom_site_fract_z
Cd1 0.090 0.107 0.317
Te1 0.369 0.571 0.258
Pd1 0.157 0.704 0.509
Pd2 0.342 0.205 0.082
```

=====

8.
A plane-wave DFT calculation with PBE-GGA was carried out for crystalline PrSmCl4 at its relaxed geometry.

Computed properties:
V in Å³/atom: 28.6
DOS at the Fermi energy in states/eV per cell: 4.56
ρ in g cm⁻³: 4.2
Formation energy without anion corrections in eV/atom: -1.9422

CIF file:
```
data_PrSmCl4
_chemical_formula_sum 'Pr2 Sm2 Cl8'
_symmetry_space_group_name_H-M 'I -4 m 2'
_symmetry_Int_Tables_number 119
_symmetry_space_group_name_Hall 'I -4 -2'
_cell_length_a 5.573
_cell_length_b 5.573
_cell_length_c 11.054
_cell_angle_alpha 90.00
_cell_angle_beta 90.00
_cell_angle_gamma 90.00
loop_
_atom_site_label
_atom_site_fract_x
_atom_site_fract_y
_atom_site_fract_z
Pr1 0.000 0.000 0.000
Sm1 0.000 0.500 0.750
Cl1 0.000 0.000 0.262
Cl2 0.000 0.500 0.007
```

=====

9.
A plane-wave DFT calculation with PBE-GGA was carried out for crystalline Tb6OsPd2 at its relaxed geometry.

Computed properties:
V in Å³/atom: 24.9
DOS at the Fermi energy in states/eV per cell: 25.90
ρ in g cm⁻³: 10.0
Energy of formation from the pure elements in eV/atom: -0.447

CIF file:
```
data_Tb6OsPd2
_chemical_formula_sum 'Tb24 Os4 Pd8'
_symmetry_space_group_name_H-M 'I m m m'
_symmetry_Int_Tables_number 71
_symmetry_space_group_name_Hall '-I 2 2'
_cell_length_a 9.525
_cell_length_b 9.661
_cell_length_c 9.761
_cell_angle_alpha 90.00
_cell_angle_beta 90.00
_cell_angle_gamma 90.00
loop_
_atom_site_label
_atom_site_fract_x
_atom_site_fract_y
_atom_site_fract_z
Tb1 0.000 0.211 0.167
Tb2 0.172 0.243 0.500
Tb3 0.185 0.500 0.240
Os1 0.000 0.500 0.000
Os2 0.000 0.500 0.500
Pd1 0.000 0.000 0.365
Pd2 0.155 0.000 0.000
```

=====

no.,magnetization (μB per cell)
1,6.6
2,0.0
3,0.0
4,0.0
5,0.0
6,0.0
7,0.0
8,0.0
9,0.0